A plane-wave DFT calculation with PBE-GGA was carried out for Tm5CoPd4 after structural relaxation.

It has space group P4/mmm (No. 123), with a = 3.380 Å, b = 3.380 Å, c = 17.607 Å, α = 90.00°, β = 90.00° and γ = 90.00°. The asymmetric unit holds Tm at (0.000, 0.000, 0.000), Tm at (0.000, 0.000, 0.204), Tm at (0.000, 0.000, 0.408), Co at (0.500, 0.500, 0.500), Pd at (0.500, 0.500, 0.102) and Pd at (0.500, 0.500, 0.304).

The spin magnetization is 0.43 μB per formula unit. Its energy of formation from the pure elements is -795 meV/atom.

***

A plane-wave DFT calculation with PBE-GGA was carried out for LaPm2Pr after structural relaxation.

It has space group R3m (No. 160, hexagonal axes), with a = 3.7030 Å, b = 3.7030 Å, c = 36.0871 Å, α = 90.00°, β = 90.00° and γ = 120.00°. The asymmetric unit holds La at (0.0000, 0.0000, 0.0000), Pm at (0.0000, 0.0000, 0.2492), Pm at (0.0000, 0.0000, 0.4179) and Pr at (0.0000, 0.0000, 0.8334).

The spin magnetization is 0.00 μB per formula unit. Its energy of formation from the pure elements is 18 meV/atom. Its energy relative to the lowest polymorph listed for this composition is 0.0233 eV per atom.

***

A plane-wave DFT calculation with PBE-GGA was carried out for PaTePbO6 after structural relaxation.

It has space group P-31c (No. 163), with a = 5.7815 Å, b = 5.7815 Å, c = 10.4804 Å, α = 90.00°, β = 90.00° and γ = 120.00°. The asymmetric unit holds Pa at (0.3333, 0.6667, 0.2500), Te at (0.3333, 0.6667, 0.7500), Pb at (0.0000, 0.0000, 0.0000) and O at (0.0173, 0.3776, 0.6441).

Its raw formation energy is -1.934 eV/atom. The spin magnetization is 0.15 μB per formula unit.

***

A plane-wave DFT calculation with PBE-GGA was carried out for Ca3Dy2NpAs6 after structural relaxation.

It has space group C2/m (No. 12), with a = 7.194 Å, b = 12.454 Å, c = 7.263 Å, α = 90.00°, β = 109.26° and γ = 90.00°. The asymmetric unit holds Ca at (0.000, 0.000, 0.000), Ca at (0.000, 0.330, 0.000), Dy at (0.000, 0.166, 0.500), Np at (0.000, 0.500, 0.500), As at (0.237, 0.340, 0.732) and As at (0.242, 0.500, 0.270).

The spin magnetization is 1.05 μB per formula unit. Its energy of formation from the pure elements is -1159 meV/atom.

***

A plane-wave DFT calculation with PBE-GGA was carried out for Pm12DySc3 after structural relaxation.

It has space group P4/mmm (No. 123), with a = 5.049 Å, b = 5.049 Å, c = 20.155 Å, α = 90.00°, β = 90.00° and γ = 90.00°. The asymmetric unit holds Pm at (0.000, 0.000, 0.000), Pm at (0.000, 0.000, 0.248), Pm at (0.000, 0.000, 0.500), Pm at (0.000, 0.500, 0.124), Pm at (0.000, 0.500, 0.371), Dy at (0.500, 0.500, 0.500), Sc at (0.500, 0.500, 0.000) and Sc at (0.500, 0.500, 0.248).

The spin magnetization is 0.00 μB per formula unit. Its energy of formation from the pure elements is 32 meV/atom.

***

A plane-wave DFT calculation with PBE-GGA was carried out for Ba2PtF after structural relaxation.

It has space group Fm-3m (No. 225), with a = 7.587 Å, b = 7.587 Å, c = 7.587 Å, α = 90.00°, β = 90.00° and γ = 90.00°. The asymmetric unit holds Ba at (0.250, 0.250, 0.250), Pt at (0.000, 0.000, 0.000) and F at (0.000, 0.000, 0.500).

Its raw formation energy is -1.526 eV/atom. The spin magnetization is 0.00 μB per formula unit. Its energy relative to the lowest polymorph listed for this composition is 0.1935 eV per atom.

***

A plane-wave DFT calculation with PBE-GGA was carried out for PmSm6Er2Th after structural relaxation.

It has space group C2/c (No. 15), with a = 9.360 Å, b = 14.961 Å, c = 9.645 Å, α = 90.00°, β = 97.15° and γ = 90.00°. The asymmetric unit holds Pm at (0.000, 0.094, 0.250), Sm at (0.065, 0.326, 0.441), Sm at (0.094, 0.109, 0.618), Sm at (0.205, 0.280, 0.816), Er at (0.245, 0.454, 0.052) and Th at (0.000, 0.468, 0.750).

The spin magnetization is 0.00 μB per formula unit. Its energy of formation from the pure elements is 146 meV/atom.

***

A plane-wave DFT calculation with PBE-GGA was carried out for La8Co3IrCl4 after structural relaxation.

It has space group R-3m (No. 166, hexagonal axes), with a = 8.1461 Å, b = 8.1461 Å, c = 22.9284 Å, α = 90.00°, β = 90.00° and γ = 120.00°. The asymmetric unit holds La at (0.0000, 0.0000, 0.2330), La at (0.0065, 0.5032, 0.7660), Co at (0.0000, 0.5000, 0.5000), Ir at (0.0000, 0.0000, 0.5000), Cl at (0.0000, 0.0000, 0.0000) and Cl at (0.0000, 0.5000, 0.0000).

Its raw formation energy is -1.032 eV/atom. The spin magnetization is 0.00 μB per formula unit.

***

A plane-wave DFT calculation with PBE-GGA was carried out for TbHoZnHg after structural relaxation.

It has space group P4mm (No. 99), with a = 3.609 Å, b = 3.609 Å, c = 7.418 Å, α = 90.00°, β = 90.00° and γ = 90.00°. The asymmetric unit holds Tb at (0.000, 0.000, 0.000), Ho at (0.000, 0.000, 0.533), Zn at (0.500, 0.500, 0.762) and Hg at (0.500, 0.500, 0.272).

The spin magnetization is 0.00 μB per formula unit. Its energy of formation from the pure elements is -414 meV/atom. Its energy relative to the lowest polymorph listed for this composition is 0.0000 eV per atom.

***

A plane-wave DFT calculation with PBE-GGA was carried out for PrY2MgAu4 after structural relaxation.

It has space group R-3m (No. 166, hexagonal axes), with a = 5.0270 Å, b = 5.0270 Å, c = 25.4118 Å, α = 90.00°, β = 90.00° and γ = 120.00°. The asymmetric unit holds Pr at (0.0000, 0.0000, 0.0000), Y at (0.0000, 0.0000, 0.2417), Mg at (0.0000, 0.0000, 0.5000), Au at (0.0000, 0.0000, 0.1231) and Au at (0.0000, 0.0000, 0.3868).

The spin magnetization is 0.00 μB per formula unit. Its energy of formation from the pure elements is -770 meV/atom.

***

A plane-wave DFT calculation with PBE-GGA was carried out for Sr2SO after structural relaxation.

It has space group P4/nmm (No. 129, origin choice 2), with a = 4.615 Å, b = 4.615 Å, c = 9.105 Å, α = 90.00°, β = 90.00° and γ = 90.00°. The asymmetric unit holds Sr at (0.250, 0.250, 0.151), Sr at (0.250, 0.750, 0.500), S at (0.250, 0.250, 0.817) and O at (0.250, 0.250, 0.410).

Its raw formation energy is -2.308 eV/atom. The spin magnetization is 0.00 μB per formula unit. Its energy relative to the lowest polymorph listed for this composition is 0.0306 eV per atom.

***

A plane-wave DFT calculation with PBE-GGA was carried out for SrLa3Ru after structural relaxation.

It has space group Cmcm (No. 63), with a = 8.249 Å, b = 10.681 Å, c = 8.478 Å, α = 90.00°, β = 90.00° and γ = 90.00°. The asymmetric unit holds Sr at (0.000, 0.228, 0.250), La at (0.000, 0.230, 0.750), La at (0.225, 0.500, 0.000) and Ru at (0.000, 0.476, 0.750).

The spin magnetization is 0.00 μB per formula unit. Its energy of formation from the pure elements is -140 meV/atom. Its energy relative to the lowest polymorph listed for this composition is 0.0388 eV per atom.

***

Q: Which value of spin magnetization does entry 1 give?
A: 0.43 μB per formula unit